# ScZn2Os | Alexandria | meta-GGA SCAN | single point on PBEsol structure
data_ScZn2Os
_chemical_formula_sum 'Sc3 Zn6 Os3'
_symmetry_space_group_name_H-M 'R -3 m'
_symmetry_Int_Tables_number 166
_symmetry_space_group_name_Hall '-R 3 2"'
_cell_length_a 2.7941
_cell_length_b 2.7941
_cell_length_c 27.3668
_cell_angle_alpha 90.00
_cell_angle_beta 90.00
_cell_angle_gamma 120.00
loop_
_atom_site_label
_atom_site_fract_x
_atom_site_fract_y
_atom_site_fract_z
Sc1 0.0000 0.0000 0.0000
Zn1 0.0000 0.0000 0.2438
Os1 0.0000 0.0000 0.5000
# M_tot = 0.0014 μB/atom
# calculated formation energy = 0.192 eV per atom
# energy = -1.032 hartree per atom
# energy above the most stable polymorph in this dataset = 0.559 eV/atom